Record 1
A relaxed ScTcIr2 crystal, computed with PBE.

Computed properties:
- Magnetization: 0.73 μB/f.u.
- Volume: 15.572 Å³/atom
- E: -8.959 eV/atom

Cell lengths 4.792, 4.792, 4.792 Å; angles 130.39, 130.47, 72.72 degrees
Each line ends with the local moment (μB).
Element x y z (fractional)
Ir 0.000 0.000 0.000  0.05
Ir 0.500 0.500 0.000  0.05
Sc 0.750 0.250 0.500  0.04
Tc 0.250 0.750 0.500  0.53

---

Record 2
A relaxed ScTcIr crystal, computed with PBE.

Computed properties:
- Magnetization: 0.00 μB/f.u.
- Volume: 16.300 Å³/atom
- E: -8.700 eV/atom

Cell lengths 5.210, 5.210, 5.210 Å; angles 143.86, 143.86, 52.04 degrees
Element x y z (fractional)
Ir 0.006 0.006 0.000
Sc 0.334 0.334 0.000
Tc 0.660 0.660 0.000

---

Record 3
A relaxed Sc6TcIr5 crystal, computed with PBE.

Computed properties:
- Magnetization: 0.00 μB/f.u.
- Volume: 16.769 Å³/atom
- E: -8.619 eV/atom

Cell lengths 4.576, 6.417, 7.905 Å; angles 113.95, 106.82, 90.00 degrees
Element x y z (fractional)
Sc 0.835 0.587 0.670
Sc 0.835 0.084 0.670
Sc 0.500 0.753 0.000
Sc 0.500 0.247 0.000
Sc 0.165 0.916 0.330
Sc 0.165 0.413 0.330
Ir 0.667 0.167 0.334
Ir 0.333 0.333 0.666
Ir 0.000 0.500 0.000
Ir 0.667 0.667 0.334
Ir 0.333 0.833 0.666
Tc 0.000 0.000 0.000

---

Record 4
A relaxed ScTcIr2 crystal, computed with PBE.

Computed properties:
- Magnetization: 0.00 μB/f.u.
- Volume: 15.859 Å³/atom
- E: -8.623 eV/atom

Cell lengths 9.124, 9.124, 9.124 Å; angles 18.01, 18.01, 18.01 degrees
Element x y z (fractional)
Ir 0.003 0.003 0.003
Ir 0.250 0.250 0.250
Sc 0.502 0.502 0.502
Tc 0.746 0.746 0.746

---

Record 5
A relaxed ScTcIr crystal, computed with PBE.

Computed properties:
- Magnetization: 0.00 μB/f.u.
- Volume: 16.464 Å³/atom
- E: -8.892 eV/atom

Cell lengths 11.958, 4.041, 4.089 Å; angles 90.00, 90.00, 90.00 degrees
Element x y z (fractional)
Sc 0.000 0.000 0.500
Sc 0.500 0.500 0.500
Sc 0.500 0.000 0.000
Sc 0.000 0.500 0.000
Tc 0.186 0.000 0.000
Tc 0.814 0.000 0.000
Tc 0.686 0.500 0.000
Tc 0.314 0.500 0.000
Ir 0.675 0.000 0.500
Ir 0.325 0.000 0.500
Ir 0.175 0.500 0.500
Ir 0.825 0.500 0.500

---

Record 6
A relaxed ScTcIr crystal, computed with PBE.

Computed properties:
- Magnetization: 2.39 μB/f.u.
- Volume: 18.991 Å³/atom
- E: -7.857 eV/atom

Cell lengths 4.319, 4.319, 4.319 Å; angles 60.00, 60.00, 60.00 degrees
Each line ends with the local moment (μB).
Element x y z (fractional)
Ir 0.500 0.500 0.500  0.37
Sc 0.750 0.750 0.750  0.03
Tc 0.000 0.000 0.000  1.75